(1)
## CoSbTeI2 (PBEsol)

Data for crystalline CoSbTeI2 at its relaxed geometry.

It has space group P4/mmm (No. 123), with a = 5.8210 Å, b = 5.8210 Å, c = 5.8208 Å, α = 90.00°, β = 90.00° and γ = 90.00°. The inequivalent atoms are Co at (0.0000, 0.0000, 0.0000), Sb at (0.5000, 0.5000, 0.0000), Te at (0.5000, 0.5000, 0.5000) and I at (0.0000, 0.5000, 0.5000).

For the formation energy (no corrections), the calculation gives 1247 meV per atom.

***

(2)
## TiFeSi (PBEsol)

Data for crystalline TiFeSi at its relaxed geometry.

It has space group Ima2 (No. 46), with a = 6.8653 Å, b = 10.6238 Å, c = 6.1760 Å, α = 90.00°, β = 90.00° and γ = 90.00°. The inequivalent atoms are Ti at (0.2500, 0.0035, 0.0000), Ti at (0.2500, 0.2269, 0.6528), Ti at (0.2500, 0.6951, 0.1174), Fe at (0.0000, 0.0000, 0.6653), Fe at (0.0340, 0.6231, 0.7966), Si at (0.0088, 0.6675, 0.4221) and Si at (0.2500, 0.0308, 0.4104).

For the formation energy (no corrections), the calculation gives -804 meV per atom.

***

(3)
## Re2Rh3 (PBEsol)

Data for crystalline Re2Rh3 at its relaxed geometry.

It has space group I4/mmm (No. 139), with a = 3.2186 Å, b = 3.2186 Å, c = 13.6854 Å, α = 90.00°, β = 90.00° and γ = 90.00°. The inequivalent atoms are Re at (0.0000, 0.0000, 0.2022), Rh at (0.0000, 0.0000, 0.0000) and Rh at (0.0000, 0.0000, 0.4006).

For the offset from the most stable computed form, the calculation gives 354 meV per atom. The value obtained for the energy of formation is 232 meV/atom.

***

(4)
## ZnCO2 (PBEsol)

Data for crystalline ZnCO2 at its relaxed geometry.

It has space group Fm-3m (No. 225), with a = 5.1357 Å, b = 5.1357 Å, c = 5.1357 Å, α = 90.00°, β = 90.00° and γ = 90.00°. The inequivalent atoms are Zn at (0.0000, 0.0000, 0.0000), C at (0.0000, 0.0000, 0.5000) and O at (0.2500, 0.2500, 0.2500).

For the formation energy (no corrections), the calculation gives 1047 meV per atom.

***

(5)
## Sc3InC (PBEsol)

Data for crystalline Sc3InC at its relaxed geometry.

It has space group Pm-3m (No. 221), with a = 4.5057 Å, b = 4.5057 Å, c = 4.5057 Å, α = 90.00°, β = 90.00° and γ = 90.00°. The inequivalent atoms are Sc at (0.0000, 0.0000, 0.5000), In at (0.5000, 0.5000, 0.5000) and C at (0.0000, 0.0000, 0.0000).

The value obtained for the energy of formation is -724 meV/atom.

***

(6)
## La18In3Co28 (PBEsol)

Data for crystalline La18In3Co28 at its relaxed geometry.

It has space group I4/mmm (No. 139), with a = 14.1167 Å, b = 14.1167 Å, c = 9.3527 Å, α = 90.00°, β = 90.00° and γ = 90.00°. The inequivalent atoms are La at (0.0000, 0.2396, 0.0000), La at (0.0000, 0.2488, 0.5000), La at (0.0000, 0.5000, 0.0000), La at (0.1659, 0.1659, 0.2589), In at (0.0000, 0.0000, 0.1613), In at (0.0000, 0.0000, 0.5000), Co at (0.0000, 0.3740, 0.2506), Co at (0.1457, 0.3515, 0.1245) and Co at (0.2458, 0.2458, 0.0000).

The value obtained for the energy of formation is -142 meV/atom.

***

(7)
## MnZn2H (PBEsol)

Data for crystalline MnZn2H at its relaxed geometry.

It has space group Fm-3m (No. 225), with a = 5.7965 Å, b = 5.7965 Å, c = 5.7965 Å, α = 90.00°, β = 90.00° and γ = 90.00°. The inequivalent atoms are Mn at (0.0000, 0.0000, 0.0000), Zn at (0.2500, 0.2500, 0.2500) and H at (0.0000, 0.0000, 0.5000).

***

(8)
## MgI2O6 (PBEsol)

Data for crystalline MgI2O6 at its relaxed geometry.

It has space group P2_1/c (No. 14), with a = 6.5338 Å, b = 10.7001 Å, c = 8.5176 Å, α = 90.00°, β = 117.73° and γ = 90.00°. The inequivalent atoms are Mg at (0.1110, 0.0925, 0.4090), I at (0.2417, 0.0816, 0.9961), I at (0.3556, 0.7128, 0.0749), O at (0.0357, 0.5380, 0.3505), O at (0.0522, 0.2186, 0.9154), O at (0.1564, 0.5774, 0.0269), O at (0.3973, 0.1022, 0.8640), O at (0.3993, 0.1166, 0.3888) and O at (0.4370, 0.7277, 0.3112).

For the formation energy (no corrections), the calculation gives -923 meV per atom.

***

(9)
## HfH2F (PBEsol)

Data for crystalline HfH2F at its relaxed geometry.

It has space group I-42d (No. 122), with a = 3.2698 Å, b = 3.2698 Å, c = 13.2890 Å, α = 90.00°, β = 90.00° and γ = 90.00°. The inequivalent atoms are Hf at (0.0000, 0.0000, 0.0000), H at (0.1747, 0.7500, 0.1250) and F at (0.0000, 0.0000, 0.5000).

***

(10)
## Zr2Ta (PBEsol)

Data for crystalline Zr2Ta at its relaxed geometry.

It has space group P6_3/mmc (No. 194), with a = 4.8964 Å, b = 4.8964 Å, c = 5.9685 Å, α = 90.00°, β = 90.00° and γ = 120.00°. The inequivalent atoms are Zr at (0.0000, 0.0000, 0.0000), Zr at (0.3333, 0.6667, 0.2500) and Ta at (0.3333, 0.6667, 0.7500).

The value obtained for the energy of formation is 172 meV/atom.

***

(11)
## KAl (PBEsol)

Data for crystalline KAl at its relaxed geometry.

It has space group Pm-3m (No. 221), with a = 4.0342 Å, b = 4.0342 Å, c = 4.0342 Å, α = 90.00°, β = 90.00° and γ = 90.00°. The inequivalent atoms are K at (0.0000, 0.0000, 0.0000) and Al at (0.5000, 0.5000, 0.5000).

For the offset from the most stable computed form, the calculation gives 297 meV per atom. The value obtained for the energy of formation is 599 meV/atom.

***

(12)
## ScRe2CO (PBEsol)

Data for crystalline ScRe2CO at its relaxed geometry.

It has space group P4/mmm (No. 123), with a = 3.8863 Å, b = 3.8863 Å, c = 4.7320 Å, α = 90.00°, β = 90.00° and γ = 90.00°. The inequivalent atoms are Sc at (0.0000, 0.0000, 0.0000), Re at (0.0000, 0.5000, 0.5000), C at (0.0000, 0.0000, 0.5000) and O at (0.5000, 0.5000, 0.0000).

For the formation energy (no corrections), the calculation gives 364 meV per atom.

***

(13)
## MnCdCl4 (PBEsol)

Data for crystalline MnCdCl4 at its relaxed geometry.

It has space group F-43m (No. 216), with a = 8.1372 Å, b = 8.1372 Å, c = 8.1372 Å, α = 90.00°, β = 90.00° and γ = 90.00°. The inequivalent atoms are Mn at (0.0000, 0.0000, 0.0000), Cd at (0.2500, 0.2500, 0.2500) and Cl at (0.1250, 0.1250, 0.6250).

For the formation energy (no corrections), the calculation gives 552 meV per atom.

***

(14)
## CaCl2 (PBEsol)

Data for crystalline CaCl2 at its relaxed geometry.

It has space group Fm-3m (No. 225), with a = 6.6281 Å, b = 6.6281 Å, c = 6.6281 Å, α = 90.00°, β = 90.00° and γ = 90.00°. The inequivalent atoms are Ca at (0.0000, 0.0000, 0.0000) and Cl at (0.2500, 0.2500, 0.2500).

For the formation energy (no corrections), the calculation gives -2364 meV per atom.

***

(15)
## ScTcO2F (PBEsol)

Data for crystalline ScTcO2F at its relaxed geometry.

It has space group P4/mmm (No. 123), with a = 4.0691 Å, b = 4.0691 Å, c = 3.9324 Å, α = 90.00°, β = 90.00° and γ = 90.00°. The inequivalent atoms are Sc at (0.0000, 0.0000, 0.0000), Tc at (0.5000, 0.5000, 0.5000), O at (0.0000, 0.5000, 0.0000) and F at (0.0000, 0.0000, 0.5000).

For the formation energy (no corrections), the calculation gives -1561 meV per atom.

***

(16)
## Ho4CrS7 (PBEsol)

Data for crystalline Ho4CrS7 at its relaxed geometry.

It has space group Cm (No. 8), with a = 12.1092 Å, b = 3.7198 Å, c = 11.2061 Å, α = 90.00°, β = 105.79° and γ = 90.00°. The inequivalent atoms are Ho at (0.0000, 0.0000, 0.0000), Ho at (0.0729, 0.5000, 0.3451), Ho at (0.1959, 0.5000, 0.7891), Ho at (0.3884, 0.0000, 0.5885), Cr at (0.3005, 0.5000, 0.2063), S at (0.0335, 0.0000, 0.7301), S at (0.1629, 0.5000, 0.0121), S at (0.1844, 0.0000, 0.2568), S at (0.2249, 0.5000, 0.5648), S at (0.3607, 0.0000, 0.8391), S at (0.4089, 0.0000, 0.1366) and S at (0.4366, 0.5000, 0.4151).

For the formation energy (no corrections), the calculation gives -1811 meV per atom.

***

(17)
## Ba3HfPt (PBEsol)

Data for crystalline Ba3HfPt at its relaxed geometry.

It has space group Pm-3m (No. 221), with a = 5.9960 Å, b = 5.9960 Å, c = 5.9960 Å, α = 90.00°, β = 90.00° and γ = 90.00°. The inequivalent atoms are Ba at (0.0000, 0.0000, 0.5000), Hf at (0.5000, 0.5000, 0.5000) and Pt at (0.0000, 0.0000, 0.0000).

The value obtained for the energy of formation is 437 meV/atom.

***

(18)
## Ag2OsBr (PBEsol)

Data for crystalline Ag2OsBr at its relaxed geometry.

It has space group P4/mmm (No. 123), with a = 5.2323 Å, b = 5.2323 Å, c = 2.6297 Å, α = 90.00°, β = 90.00° and γ = 90.00°. The inequivalent atoms are Ag at (0.0000, 0.5000, 0.0000), Os at (0.0000, 0.0000, 0.5000) and Br at (0.5000, 0.5000, 0.5000).

For the offset from the most stable computed form, the calculation gives 307 meV per atom. For the formation energy (no corrections), the calculation gives 1013 meV per atom.

***

(19)
## ZnRuSe2Br (PBEsol)

Data for crystalline ZnRuSe2Br at its relaxed geometry.

It has space group P4/mmm (No. 123), with a = 4.7777 Å, b = 4.7777 Å, c = 5.0057 Å, α = 90.00°, β = 90.00° and γ = 90.00°. The inequivalent atoms are Zn at (0.0000, 0.0000, 0.0000), Ru at (0.5000, 0.5000, 0.5000), Se at (0.0000, 0.5000, 0.0000) and Br at (0.0000, 0.0000, 0.5000).

For the formation energy (no corrections), the calculation gives 990 meV per atom.

***

(20)
## Sb2AsBr (PBEsol)

Data for crystalline Sb2AsBr at its relaxed geometry.

It has space group I-42d (No. 122), with a = 7.9553 Å, b = 7.9553 Å, c = 6.7441 Å, α = 90.00°, β = 90.00° and γ = 90.00°. The inequivalent atoms are Sb at (0.2146, 0.2500, 0.1250), As at (0.0000, 0.0000, 0.0000) and Br at (0.0000, 0.0000, 0.5000).

For the offset from the most stable computed form, the calculation gives 89 meV per atom. For the formation energy (no corrections), the calculation gives 91 meV per atom.

***

no.,total DFT energy (no corrections) (eV/atom)
1,-2.6240
2,-8.4816
3,-9.9837
4,-4.3841
5,-7.2124
6,-6.7095
7,-3.3565
8,-5.0062
9,-5.5766
10,-10.0720
11,-2.0133
12,-9.2682
13,-2.6131
14,-4.4134
15,-7.6202
16,-6.8720
17,-4.3452
18,-4.1644
19,-3.2748
20,-3.9318